[1]
Compound: Ba4LiTa3O12
Source: Alexandria
Functional: PBE
Structure: relaxed

Output
Energy relative to the elements, uncorrected, meV/atom: -2907
N(E_F), states/eV/cell: 0.00
Volume, Å³/atom: 14.31
Magnetic moment, μB/f.u.: 0.0
Excess energy over the best structure of this formula in the dataset, meV per atom: 42
Uncorrected energy, eV per atom: -8.1403

Cell and atoms, written as extended XYZ:
```
20
Lattice="-4.152 4.152 4.152 4.152 -4.152 4.152 4.152 4.152 -4.152" Properties=species:S:1:pos:R:3 pbc="T T T"
Ba 2.076 2.076 -2.076
Ba 2.076 -2.076 2.076
Ba -2.076 2.076 2.076
Ba 2.076 2.076 2.076
Li 0.000 0.000 0.000
Ta 4.152 0.000 0.000
Ta 0.000 4.152 0.000
Ta 0.000 0.000 4.152
O 2.223 0.000 0.000
O 6.080 0.000 0.000
O 4.152 2.076 0.000
O 4.152 0.000 2.076
O 0.000 2.223 0.000
O 0.000 0.000 2.223
O 2.076 4.152 0.000
O 2.076 0.000 4.152
O 0.000 6.080 0.000
O 0.000 0.000 6.080
O 0.000 4.152 2.076
O 0.000 2.076 4.152
```

[2]
Compound: Ba4LiTa3O12
Source: Alexandria
Functional: PBE
Structure: relaxed

Output
Energy relative to the elements, uncorrected, meV/atom: -2949
N(E_F), states/eV/cell: 0.00
Volume, Å³/atom: 14.40
Magnetic moment, μB/f.u.: 0.0
Excess energy over the best structure of this formula in the dataset, meV per atom: 0
Uncorrected energy, eV per atom: -8.1821

Cell and atoms, written as extended XYZ:
```
40
Lattice="5.863 0.000 0.000 -2.931 5.077 0.000 0.000 0.000 19.356" Properties=species:S:1:pos:R:3 pbc="T T T"
Ba 0.000 0.000 0.000
Ba 0.000 0.000 9.678
Ba 0.000 3.385 2.749
Ba 0.000 3.385 7.095
Ba 0.000 3.385 14.422
Ba 2.931 1.692 4.744
Ba 2.931 1.692 12.427
Ba 2.931 1.692 16.773
Li 0.000 0.000 3.159
Li 0.000 0.000 12.837
Ta 0.000 0.000 5.940
Ta 0.000 0.000 15.618
Ta 0.000 3.385 10.894
Ta 0.000 3.385 18.126
Ta 2.931 1.692 1.216
Ta 2.931 1.692 8.448
O -1.453 2.546 19.231
O 0.000 1.611 4.932
O -1.536 4.271 4.932
O 0.000 1.721 16.954
O -1.441 4.217 16.954
O 0.000 1.765 11.898
O -1.403 4.195 11.898
O 1.396 0.806 14.610
O 1.490 0.860 7.276
O 1.528 0.882 2.220
O 1.453 2.546 19.231
O 0.000 5.063 19.231
O 2.931 0.015 9.553
O 1.478 2.531 9.553
O 1.403 4.195 11.898
O 1.441 4.217 16.954
O 1.536 4.271 4.932
O 4.334 0.882 2.220
O 2.931 3.313 2.220
O 4.372 0.860 7.276
O 2.931 3.356 7.276
O 4.467 0.806 14.610
O 2.931 3.466 14.610
O 4.384 2.531 9.553
```

[3]
Compound: Ba3LiTa2O9
Source: Alexandria
Functional: PBE
Structure: relaxed

Output
Energy relative to the elements, uncorrected, meV/atom: -2766
N(E_F), states/eV/cell: 10.70
Volume, Å³/atom: 14.50
Magnetic moment, μB/f.u.: 0.9
Uncorrected energy, eV per atom: -7.8333

Cell and atoms, written as extended XYZ:
```
15
Lattice="5.875 0.000 0.000 -2.938 5.088 0.000 0.000 0.000 7.276" Properties=species:S:1:pos:R:3 pbc="T T T"
Ba 0.000 0.000 0.000
Ba 0.000 3.392 4.772
Ba 2.938 1.696 2.504
Li 0.000 0.000 3.638
Ta 0.000 3.392 1.260
Ta 2.938 1.696 6.017
O -1.469 2.544 0.000
O 0.000 1.776 2.316
O -1.400 4.200 2.316
O 1.538 0.888 4.960
O 2.938 0.000 0.000
O 1.469 2.544 0.000
O 1.400 4.200 2.316
O 4.337 0.888 4.960
O 2.938 3.312 4.960
```

[4]
Compound: Ba3LiTa2O8
Source: Alexandria
Functional: PBE
Structure: relaxed

Output
Energy relative to the elements, uncorrected, meV/atom: -2636
N(E_F), states/eV/cell: 4.33
Volume, Å³/atom: 17.41
Magnetic moment, μB/f.u.: 0.0
Uncorrected energy, eV per atom: -7.7114

Cell and atoms, written as extended XYZ:
```
14
Lattice="6.024 0.000 0.000 -3.012 5.217 0.000 0.000 0.000 7.756" Properties=species:S:1:pos:R:3 pbc="T T T"
Ba 0.000 0.000 0.000
Ba 0.000 3.478 4.959
Ba 3.012 1.739 2.797
Li 0.000 0.000 3.878
Ta 0.000 3.478 1.561
Ta 3.012 1.739 6.195
O 0.000 1.782 2.406
O -1.469 4.326 2.406
O 0.000 3.478 7.450
O 1.543 0.891 5.350
O 1.469 4.326 2.406
O 3.012 1.739 0.305
O 4.481 0.891 5.350
O 3.012 3.435 5.350
```

[5]
Compound: Ba3Li2TaO6
Source: Alexandria
Functional: PBE
Structure: relaxed

Output
Energy relative to the elements, uncorrected, meV/atom: -2494
N(E_F), states/eV/cell: 1.24
Volume, Å³/atom: 17.73
Magnetic moment, μB/f.u.: 0.5
Uncorrected energy, eV per atom: -6.7609

Cell and atoms, written as extended XYZ:
```
12
Lattice="5.913 0.000 0.000 -2.957 5.121 0.000 0.000 0.000 7.024" Properties=species:S:1:pos:R:3 pbc="T T T"
Ba 0.000 0.000 0.000
Ba 0.000 3.414 4.514
Ba 2.957 1.707 2.511
Li 0.000 3.414 1.628
Li 2.957 1.707 5.396
Ta 0.000 0.000 3.512
O 0.000 1.634 2.320
O -1.542 4.304 2.320
O 1.415 0.817 4.704
O 1.542 4.304 2.320
O 4.498 0.817 4.704
O 2.957 3.487 4.704
```

[6]
Compound: BaLiTa2O7
Source: Alexandria
Functional: PBE
Structure: relaxed

Output
Energy relative to the elements, uncorrected, meV/atom: -2595
N(E_F), states/eV/cell: 6.41
Volume, Å³/atom: 14.52
Magnetic moment, μB/f.u.: 1.0
Uncorrected energy, eV per atom: -8.2537

Cell and atoms, written as extended XYZ:
```
11
Lattice="-1.975 1.975 10.237 1.975 -1.975 10.237 1.975 1.975 -10.237" Properties=species:S:1:pos:R:3 pbc="T T T"
Ba 0.000 0.000 0.000
Li 0.000 1.975 5.119
Ta 0.000 0.000 7.788
Ta 0.000 0.000 12.687
O 1.975 0.000 2.068
O 0.000 0.000 5.984
O 1.975 0.000 8.169
O 0.000 0.000 10.237
O 0.000 1.975 2.102
O 0.000 0.000 14.490
O 0.000 1.975 8.135
```

[7]
Compound: Ba3LiTa3Ti5O21
Source: Alexandria
Functional: PBE
Structure: relaxed

Output
Energy relative to the elements, uncorrected, meV/atom: -3008
N(E_F), states/eV/cell: 0.00
Volume, Å³/atom: 13.01
Magnetic moment, μB/f.u.: 0.0
Uncorrected energy, eV per atom: -8.6693

Cell and atoms, written as extended XYZ:
```
66
Lattice="7.989 -4.588 0.000 7.989 4.588 0.000 0.000 0.000 11.713" Properties=species:S:1:pos:R:3 pbc="T T T"
Ba 4.745 1.813 0.000
Ba 7.989 3.683 5.851
Ba 4.745 -1.813 5.856
Ba 11.234 1.813 0.000
Ba 7.989 -3.683 11.708
Ba 11.234 -1.813 5.856
Li 7.989 0.076 5.484
Li 7.989 -0.076 11.341
Ta 2.653 0.002 2.952
Ta 2.653 -0.002 8.808
Ta 7.989 2.181 1.903
Ta 7.989 -2.181 7.759
Ta 13.326 0.002 2.952
Ta 13.326 -0.002 8.808
Ti 5.919 1.128 4.047
Ti 7.989 2.308 9.796
Ti 5.984 1.156 7.758
Ti 5.919 -1.128 9.903
Ti 5.984 -1.156 1.902
Ti 9.995 1.156 7.758
Ti 10.060 1.128 4.047
Ti 9.995 -1.156 1.902
Ti 7.989 -2.308 3.940
Ti 10.060 -1.128 9.903
O 6.677 3.677 1.786
O 5.469 2.975 7.634
O 5.500 2.981 4.130
O 6.648 3.638 9.993
O 9.302 3.677 1.786
O 4.104 0.663 4.177
O 4.136 0.668 7.664
O 9.330 3.638 9.993
O 6.329 0.992 2.083
O 7.989 1.910 7.937
O 6.336 0.910 5.891
O 6.378 0.899 9.653
O 7.989 1.788 0.009
O 7.989 1.763 3.866
O 4.104 -0.663 10.034
O 10.478 2.981 4.130
O 4.136 -0.668 1.807
O 10.509 2.975 7.634
O 6.336 -0.910 0.035
O 9.649 0.992 2.083
O 6.378 -0.899 3.797
O 9.601 0.899 9.653
O 6.329 -0.992 7.940
O 9.643 0.910 5.891
O 5.469 -2.975 1.777
O 11.842 0.668 7.664
O 5.500 -2.981 9.986
O 11.874 0.663 4.177
O 7.989 -1.763 9.723
O 7.989 -1.788 5.866
O 9.601 -0.899 3.797
O 9.643 -0.910 0.035
O 7.989 -1.910 2.080
O 9.649 -0.992 7.940
O 6.648 -3.638 4.136
O 11.842 -0.668 1.807
O 11.874 -0.663 10.034
O 6.677 -3.677 7.643
O 9.330 -3.638 4.136
O 10.478 -2.981 9.986
O 10.509 -2.975 1.777
O 9.302 -3.677 7.643
```

[8]
Compound: BaLiTbO3
Source: Alexandria
Functional: PBE
Structure: relaxed

Output
Energy relative to the elements, uncorrected, meV/atom: -2639
N(E_F), states/eV/cell: 0.00
Volume, Å³/atom: 16.43
Magnetic moment, μB/f.u.: 0.0
Uncorrected energy, eV per atom: -6.5295

Cell and atoms, written as extended XYZ:
```
12
Lattice="6.050 0.000 0.000 -3.025 5.240 0.000 0.000 0.000 6.219" Properties=species:S:1:pos:R:3 pbc="T T T"
Ba 0.000 3.493 1.555
Ba 3.025 1.747 4.664
Li 0.000 3.493 4.664
Li 3.025 1.747 1.555
Tb 0.000 0.000 0.000
Tb 0.000 0.000 3.109
O 0.000 1.690 4.664
O -1.561 4.395 4.664
O 1.464 0.845 1.555
O 1.561 4.395 4.664
O 4.587 0.845 1.555
O 3.025 3.549 1.555
```

[9]
Compound: BaLiTb2O4
Source: Alexandria
Functional: PBE
Structure: relaxed

Output
Energy relative to the elements, uncorrected, meV/atom: -2810
N(E_F), states/eV/cell: 4.45
Volume, Å³/atom: 14.96
Magnetic moment, μB/f.u.: 0.0
Uncorrected energy, eV per atom: -6.9266

Cell and atoms, written as extended XYZ:
```
16
Lattice="1.765 -5.880 0.000 1.765 5.880 0.000 0.000 0.000 11.526" Properties=species:S:1:pos:R:3 pbc="T T T"
Ba 1.765 4.765 8.644
Ba 1.765 -4.765 2.881
Li 1.765 3.822 2.881
Li 1.765 -3.822 8.644
Tb 1.765 1.542 6.380
Tb 1.765 1.542 10.909
Tb 1.765 -1.542 0.617
Tb 1.765 -1.542 5.146
O 0.000 0.000 0.000
O 0.000 0.000 5.763
O 1.765 2.906 1.226
O 1.765 2.906 4.537
O 1.765 1.066 8.644
O 1.765 -1.066 2.881
O 1.765 -2.906 6.989
O 1.765 -2.906 10.300
```